VASP calculation (PBE) on a relaxed BaAl2O4 crystal. Values from VASP.

Properties
Size of the total moment: 0.0000 μB per atom
Energy: -7.226 eV per atom

Geometry as Quantum ESPRESSO input:
```
&SYSTEM
  ibrav = 0, nat = 56, ntyp = 3
/
ATOMIC_SPECIES
Al 26.98 Al.upf
O 16.00 O.upf
Ba 137.33 Ba.upf
ATOMIC_POSITIONS crystal
Al 0.551 0.846 0.175
Al 0.051 0.175 0.328
Al 0.551 0.328 0.154
Al 0.938 0.845 0.176
Al 0.438 0.155 0.824
Al 0.051 0.672 0.846
Al 0.438 0.176 0.331
Al 0.938 0.824 0.669
Al 0.551 0.825 0.672
Al 0.455 0.667 0.333
Al 0.554 0.333 0.667
Al 0.051 0.154 0.825
Al 0.054 0.667 0.333
Al 0.955 0.333 0.667
Al 0.438 0.669 0.845
Al 0.938 0.331 0.155
O 0.244 0.111 0.789
O 0.522 0.179 0.181
O 0.744 0.889 0.211
O 0.500 0.499 0.820
O 0.012 0.183 0.497
O 0.522 0.819 0.997
O 0.022 0.181 0.003
O 0.955 0.688 0.001
O 0.255 0.667 0.333
O 0.512 0.817 0.503
O 0.455 0.312 0.999
O 0.500 0.321 0.501
O 0.955 0.999 0.687
O 0.022 0.997 0.179
O 0.500 0.180 0.679
O 0.455 0.001 0.313
O 0.512 0.686 0.183
O 0.955 0.313 0.312
O 0.000 0.501 0.180
O 0.512 0.497 0.314
O 0.022 0.821 0.819
O 0.244 0.211 0.322
O 0.522 0.003 0.821
O 0.000 0.679 0.499
O 0.455 0.687 0.688
O 0.012 0.503 0.686
O 0.000 0.820 0.321
O 0.244 0.678 0.889
O 0.744 0.789 0.678
O 0.755 0.333 0.667
O 0.012 0.314 0.817
O 0.744 0.322 0.111
Ba 0.254 0.000 0.000
Ba 0.754 0.000 0.000
Ba 0.244 0.992 0.493
Ba 0.744 0.008 0.507
Ba 0.744 0.499 0.992
Ba 0.744 0.493 0.501
Ba 0.244 0.501 0.008
Ba 0.244 0.507 0.499
CELL_PARAMETERS angstrom
8.872 0.000 0.000
0.000 10.584 0.000
0.000 -5.292 9.166
```

VASP calculation (PBE) on a relaxed SbPtSe2 crystal. Values from VASP.

Properties
Size of the total moment: 0.0000 μB per atom
Energy: -4.152 eV per atom

Geometry as Quantum ESPRESSO input:
```
&SYSTEM
  ibrav = 0, nat = 4, ntyp = 3
/
ATOMIC_SPECIES
Se 78.96 Se.upf
Pt 195.08 Pt.upf
Sb 121.76 Sb.upf
ATOMIC_POSITIONS crystal
Se 0.500 0.500 0.332
Se 0.000 0.000 0.914
Pt 0.000 0.000 0.526
Sb 0.500 0.500 0.727
CELL_PARAMETERS angstrom
-3.697 -0.372 -0.376
0.528 -2.409 -2.803
0.068 -5.138 4.428
```

VASP calculation (PBE) on a relaxed Sc2Cu2Ni5Sn crystal. Values from VASP.

Properties
Size of the total moment: 0.0000 μB per atom
Energy of formation: -0.3300 eV per atom
Energy: -5.706 eV per atom

Geometry as Quantum ESPRESSO input:
```
&SYSTEM
  ibrav = 0, nat = 20, ntyp = 4
/
ATOMIC_SPECIES
Ni 58.69 Ni.upf
Sc 44.96 Sc.upf
Sn 118.71 Sn.upf
Cu 63.55 Cu.upf
ATOMIC_POSITIONS crystal
Ni 0.500 0.500 0.000
Ni 0.500 0.211 0.070
Ni 0.500 0.000 0.500
Ni 0.500 0.070 0.789
Ni 0.500 0.430 0.289
Ni 0.500 0.789 0.930
Ni 0.500 0.711 0.430
Ni 0.500 0.930 0.211
Ni 0.500 0.570 0.711
Ni 0.500 0.289 0.570
Sc 0.000 0.677 0.177
Sc 0.000 0.823 0.677
Sc 0.000 0.323 0.823
Sc 0.000 0.177 0.323
Sn 0.000 0.000 0.000
Sn 0.000 0.500 0.500
Cu 0.000 0.882 0.382
Cu 0.000 0.118 0.618
Cu 0.000 0.618 0.882
Cu 0.000 0.382 0.118
CELL_PARAMETERS angstrom
3.706 0.000 0.000
0.000 8.733 0.000
0.000 0.000 8.733
```

VASP calculation (PBE) on a relaxed Ca8ZnAg2 crystal. Values from VASP.

Properties
Size of the total moment: 0.0000 μB per atom
Energy of formation: -0.1514 eV per atom
Energy: -2.241 eV per atom

Geometry as Quantum ESPRESSO input:
```
&SYSTEM
  ibrav = 0, nat = 11, ntyp = 3
/
ATOMIC_SPECIES
Ag 107.87 Ag.upf
Ca 40.08 Ca.upf
Zn 65.41 Zn.upf
ATOMIC_POSITIONS crystal
Ag 0.815 0.292 0.631
Ag 0.185 0.708 0.369
Ca 0.969 0.211 0.938
Ca 0.333 0.033 0.666
Ca 0.203 0.316 0.407
Ca 0.031 0.789 0.062
Ca 0.406 0.546 0.813
Ca 0.594 0.454 0.187
Ca 0.797 0.684 0.593
Ca 0.667 0.967 0.334
Zn 0.500 0.000 0.000
CELL_PARAMETERS angstrom
5.244 0.000 0.000
0.000 7.517 0.179
-2.622 -3.005 8.990
```

VASP calculation (PBE) on a relaxed TeOs3F crystal. Values from VASP.

Properties
Size of the total moment: 0.0000 μB per atom
Energy: -5.998 eV per atom

Geometry as Quantum ESPRESSO input:
```
&SYSTEM
  ibrav = 0, nat = 5, ntyp = 3
/
ATOMIC_SPECIES
Os 190.23 Os.upf
F 19.00 F.upf
Te 127.60 Te.upf
ATOMIC_POSITIONS crystal
Os 0.000 0.000 0.500
Os 0.500 0.000 0.000
Os 0.000 0.500 0.000
F 0.000 0.000 0.000
Te 0.500 0.500 0.500
CELL_PARAMETERS angstrom
-2.964 2.953 -1.092
-2.289 -0.992 3.532
2.161 2.999 2.243
```

VASP calculation (PBE) on a relaxed LaScPb crystal. Values from VASP.

Properties
Size of the total moment: 0.0019 μB per atom
Energy of formation: -0.4501 eV per atom
Energy: -5.439 eV per atom

Geometry as Quantum ESPRESSO input:
```
&SYSTEM
  ibrav = 0, nat = 9, ntyp = 3
/
ATOMIC_SPECIES
Pb 207.20 Pb.upf
La 138.91 La.upf
Sc 44.96 Sc.upf
ATOMIC_POSITIONS crystal
Pb 0.500 0.667 0.333
Pb 0.000 0.000 0.000
Pb 0.500 0.333 0.667
La 0.000 0.401 0.000
La 0.000 0.599 0.599
La 0.000 0.000 0.401
Sc 0.500 0.748 0.000
Sc 0.500 0.252 0.252
Sc 0.500 0.000 0.748
CELL_PARAMETERS angstrom
4.543 0.000 0.000
0.000 8.272 0.000
0.000 -4.136 7.164
```

VASP calculation (PBE) on a relaxed CdRu2Se crystal. Values from VASP.

Properties
Size of the total moment: 0.0000 μB per atom
Energy: -5.474 eV per atom

Geometry as Quantum ESPRESSO input:
```
&SYSTEM
  ibrav = 0, nat = 4, ntyp = 3
/
ATOMIC_SPECIES
Ru 101.07 Ru.upf
Se 78.96 Se.upf
Cd 112.41 Cd.upf
ATOMIC_POSITIONS crystal
Ru 0.025 0.025 0.852
Ru 0.744 0.744 0.822
Se 0.462 0.462 0.547
Cd 0.269 0.269 0.279
CELL_PARAMETERS angstrom
5.415 0.004 0.022
4.617 2.830 0.022
2.339 0.661 4.579
```

VASP calculation (PBE) on a relaxed Ti4NbRu crystal. Values from VASP.

Properties
Size of the total moment: 0.0000 μB per atom
Energy of formation: 0.3023 eV per atom
Energy: -8.185 eV per atom

Geometry as Quantum ESPRESSO input:
```
&SYSTEM
  ibrav = 0, nat = 6, ntyp = 3
/
ATOMIC_SPECIES
Ti 47.87 Ti.upf
Nb 92.91 Nb.upf
Ru 101.07 Ru.upf
ATOMIC_POSITIONS crystal
Ti 0.627 0.627 0.118
Ti 0.122 0.122 0.635
Ti 0.878 0.878 0.365
Ti 0.373 0.373 0.882
Nb 0.500 0.500 0.500
Ru 0.000 0.000 0.000
CELL_PARAMETERS angstrom
4.321 0.000 0.000
2.160 3.735 0.215
2.160 0.837 7.114
```

VASP calculation (PBE) on a relaxed Mn2HRh crystal. Values from VASP.

Properties
Size of the total moment: 0.0072 μB per atom
Energy: -7.300 eV per atom

Geometry as Quantum ESPRESSO input:
```
&SYSTEM
  ibrav = 0, nat = 4, ntyp = 3
/
ATOMIC_SPECIES
H 1.01 H.upf
Mn 54.94 Mn.upf
Rh 102.91 Rh.upf
ATOMIC_POSITIONS crystal
H 0.668 0.668 0.997
Mn 0.056 0.056 0.833
Mn 0.278 0.278 0.167
Rh 0.499 0.499 0.503
CELL_PARAMETERS angstrom
2.663 0.000 0.000
1.332 2.306 0.000
1.332 0.769 6.339
```

VASP calculation (PBE) on a relaxed LaPuZn4 crystal. Values from VASP.

Properties
Size of the total moment: 0.8844 μB per atom
Energy of formation: -0.2036 eV per atom
Energy: -4.263 eV per atom

Geometry as Quantum ESPRESSO input:
```
&SYSTEM
  ibrav = 0, nat = 6, ntyp = 3
/
ATOMIC_SPECIES
Zn 65.41 Zn.upf
Pu 244.00 Pu.upf
La 138.91 La.upf
ATOMIC_POSITIONS crystal
Zn 0.625 0.125 0.625
Zn 0.125 0.625 0.625
Zn 0.625 0.625 0.125
Zn 0.625 0.625 0.625
Pu 0.250 0.250 0.250
La 0.000 0.000 0.000
CELL_PARAMETERS angstrom
-0.266 -5.251 1.831
1.452 -4.196 -3.359
4.683 -2.850 0.970
```

VASP calculation (PBE) on a relaxed ZrPaAl2 crystal. Values from VASP.

Properties
Size of the total moment: 0.0000 μB per atom
Energy of formation: -0.1827 eV per atom
Energy: -6.565 eV per atom

Geometry as Quantum ESPRESSO input:
```
&SYSTEM
  ibrav = 0, nat = 4, ntyp = 3
/
ATOMIC_SPECIES
Zr 91.22 Zr.upf
Pa 231.04 Pa.upf
Al 26.98 Al.upf
ATOMIC_POSITIONS crystal
Zr 0.500 0.000 0.000
Pa 0.500 0.500 0.500
Al 0.000 0.500 0.000
Al 0.000 0.000 0.500
CELL_PARAMETERS angstrom
4.374 0.000 0.000
0.000 4.381 0.000
0.000 0.000 4.381
```

VASP calculation (PBE) on a relaxed TiNi2As crystal. Values from VASP.

Properties
Size of the total moment: 0.0000 μB per atom
Energy of formation: -0.2436 eV per atom
Energy: -6.270 eV per atom

Geometry as Quantum ESPRESSO input:
```
&SYSTEM
  ibrav = 0, nat = 8, ntyp = 3
/
ATOMIC_SPECIES
Ti 47.87 Ti.upf
As 74.92 As.upf
Ni 58.69 Ni.upf
ATOMIC_POSITIONS crystal
Ti 0.250 0.750 0.500
Ti 0.500 0.500 0.000
As 0.750 0.250 0.500
As 0.000 0.000 0.000
Ni 0.638 0.125 0.250
Ni 0.875 0.888 0.750
Ni 0.112 0.625 0.250
Ni 0.375 0.362 0.750
CELL_PARAMETERS angstrom
-0.746 0.761 3.521
0.818 -3.467 0.922
8.032 0.857 3.438
```